Below is crystalline LiLaIr4 at its relaxed geometry, with properties calculated at the PBE-GGA level.

Structure (POSCAR):
```
LiLaIr4
1.0
0.000 3.781 3.781
3.781 0.000 3.781
3.781 3.781 0.000
Li La Ir
1 1 4
Direct
0.000 0.000 0.000
0.750 0.750 0.750
0.375 0.375 0.375
0.375 0.375 0.876
0.375 0.876 0.375
0.876 0.375 0.375
```

Output
As for the crystal system: cubic.


Below is crystalline LiLaIr at its relaxed geometry, with properties calculated at the PBE-GGA level.

Structure (POSCAR):
```
LiLaIr
1.0
0.000 3.318 3.318
3.318 0.000 3.318
3.318 3.318 0.000
Li La Ir
1 1 1
Direct
0.000 0.000 0.000
0.250 0.250 0.250
0.500 0.500 0.500
```

Output
Its energy above the most stable polymorph in this dataset is 188 kJ/mol of formula units. As for the crystal system: cubic.


Below is crystalline LiLaIr2 at its relaxed geometry, with properties calculated at the PBE-GGA level.

Structure (POSCAR):
```
LiLaIr2
1.0
3.034 0.000 0.000
0.000 4.311 0.000
-1.341 0.000 5.454
Li La Ir
1 1 2
Direct
0.000 0.000 0.000
0.500 0.000 0.500
0.170 0.500 0.795
0.830 0.500 0.205
```

Output
As for the crystal system: monoclinic.


Below is crystalline LiLaIr at its relaxed geometry, with properties calculated at the PBE-GGA level.

Structure (POSCAR):
```
LiLaIr
1.0
0.000 3.301 3.301
3.301 0.000 3.301
3.301 3.301 0.000
Li La Ir
1 1 1
Direct
0.000 0.000 0.000
0.500 0.500 0.500
0.750 0.750 0.750
```

Output
Its energy above the most stable polymorph in this dataset is 48 kJ/mol of formula units. As for the crystal system: cubic.


| no. | electronic total energy (eV/atom) | total magnetic moment (μB per formula unit) |
| --- | --- | --- |
| 1 | -7.434 | 0.000 |
| 2 | -5.054 | 0.000 |
| 3 | -6.346 | 0.000 |
| 4 | -5.539 | 0.000 |